Record 1
CaBe2Si | meta-GGA SCAN | single point on PBEsol structure

```
CaBe2Si
1.0
-3.5624 1.1908 0.7587
-0.3127 -2.7523 2.8515
1.4310 2.5890 2.6559
Be Ca Si
2 1 1
Direct
0.0000 0.0000 0.5000
0.0000 0.5000 0.0000
0.5000 0.5000 0.5000
0.5000 0.0000 0.0000
```

- spin magnetization (μB/atom) = 0.000
- calculated volume (A^3/atom) = 15.140
- final energy (eV per atom) = -6.663
- raw formation energy (meV/atom) = 433



Record 2
LiBeAu2 | meta-GGA SCAN | single point on PBEsol structure

```
LiBeAu2
1.0
-2.2786 -1.6642 0.2110
0.1134 -2.3641 1.5507
-3.2989 3.0607 7.4890
Au Be Li
2 1 1
Direct
0.9962 0.9962 0.0113
0.7609 0.7609 0.7172
0.4960 0.4960 0.5119
0.2468 0.2468 0.2597
```

- calculated formation energy (eV per atom) = -0.08
- spin magnetization (μB/atom) = 0.005
- calculated volume (A^3/atom) = 14.877
- final energy (eV per atom) = -36.347



Record 3
FeHgBi3 | meta-GGA SCAN | single point on PBEsol structure

```
FeHgBi3
1.0
5.5656 0.0000 0.0000
0.0000 5.5656 0.0000
0.0000 0.0000 5.5656
Fe Bi Hg
1 3 1
Direct
0.5000 0.5000 0.5000
0.0000 0.5000 0.0000
0.0000 0.0000 0.5000
0.5000 0.0000 0.0000
0.0000 0.0000 0.0000
```

- calculated formation energy (eV per atom) = 1.31
- spin magnetization (μB/atom) = 0.702
- calculated volume (A^3/atom) = 34.479
- final energy (eV per atom) = -63.092



Q: Which value of final energy does entry 3 give?
A: -63.092 eV per atom